Below is a geometry-optimized Dy3Hg3Au2 structure, with properties calculated at the PBE level.

abc: 5.010 5.213 7.263
angles: 90.00 90.00 90.00
Atoms (fractional coordinates):
Dy  0.000  0.000  0.000
Dy  0.000  0.000  0.500
Dy  0.500  0.500  0.000
Hg  0.000  0.500  0.256
Hg  0.000  0.500  0.744
Hg  0.500  0.500  0.500
Au  0.500  0.000  0.231
Au  0.500  0.000  0.769

For the formation energy, the calculation gives -419 kJ/mol of formula units. For the energy above the most stable polymorph in this dataset, the calculation gives 0.080 eV per atom. The total energy comes out at -3.2014 eV per atom. The space-group type is Pmmm (47). The calculation puts the density of states at the Fermi level at 0.6413 states/eV/atom.